ScInW2: optimized geometry, PBE.

Output
Density = 11.7 g/cm3
Formation energy from the elements = 0.20 eV per atom
DFT total energy = -8.542 eV/atom
Space group = Cmm2, No. 35
M_tot = 0.0 μB/f.u.

Cell: 2.922 2.922 9.401 Å, 90.00 90.00 110.74°
Sites, in units of the cell vectors:
1 W 0.500 0.500 0.231
2 W 0.000 0.000 0.013
3 Sc 0.500 0.500 0.768
4 In 0.000 0.000 0.488